Li3V4SnO12 | PBE with a Hubbard U | relaxed

DFT total energy: -6.89 eV/atom

a = 5.1363 Å, b = 5.4718 Å, c = 7.4119 Å
α = 84.99°, β = 89.45°, γ = 89.55°
With the nearest neighbours (Å) after each atom.
Fractional positions:
Li  0.0000  0.0000  0.0000  6 O 2.09-2.29
Li  0.0022  0.0024  0.4987  5 O 2.04-2.24
Li  0.4928  0.4808  0.4979  6 O 2.09-2.23
V  0.0122  0.5764  0.7721  2 O 1.75-1.94
V  0.4766  0.0387  0.3017  3 O 1.73-1.84
V  0.5188  0.0654  0.7812  2 O 1.75-1.96
V  0.9829  0.5562  0.2967  1 O 1.72
Sn  0.5014  0.4839  0.9981  6 O 2.03-2.16
O  0.1155  0.6055  0.5457  1 V 1.75
O  0.1903  0.9020  0.2437  1 V 1.73
O  0.2071  0.2880  0.8639  2 V 1.94-2.12, 1 Li 2.09, 1 Sn 2.16
O  0.3026  0.7774  0.8697  2 V 2.00-2.04, 1 Sn 2.06, 1 Li 2.23
O  0.3254  0.4104  0.2430  2 V 1.98-2.18, 1 Sn 2.03, 1 Li 2.15
O  0.3829  0.0978  0.5347  2 V 1.84-1.96, 1 Li 2.05
O  0.6153  0.1100  0.0563  2 V 1.96-2.14, 1 Li 2.11, 1 Sn 2.13
O  0.6799  0.4074  0.7462  2 V 1.97-2.05, 1 Li 2.09, 1 Sn 2.14
O  0.6870  0.7901  0.3559  1 V 1.75
O  0.8063  0.9074  0.7381  1 V 1.75
O  0.8162  0.2916  0.3606  1 V 1.72
O  0.8690  0.6085  0.0420  2 V 1.98-2.15, 1 Sn 2.05